TaSnSe2Br: optimized geometry, GGA-PBE.

Cell lengths 5.091, 5.091, 5.101 Å; angles 90.00, 90.00, 90.00 degrees
Element x y z (fractional)
Se (0.000, 0.500, 0.000)
Se (0.500, 0.000, 0.000)
Sn (0.500, 0.500, 0.500)
Br (0.000, 0.000, 0.500)
Ta (0.000, 0.000, 0.000)

Calculated values
Magnetization ... 0.0 μB per formula unit
Distance to the lowest polymorph of the same formula ... 0 meV/atom
Calculated total energy ... -5.011 eV/atom
Uncorrected formation energy ... -111 meV per atom